# AsRhBr | Alexandria via LeMat-Bulk | GGA-PBE | relaxed
# E_tot   -4.80 eV/atom
# Formation energy from raw total energies   -0.245 eV/atom
data_AsRhBr
_symmetry_space_group_name_H-M 'P 1'
_symmetry_Int_Tables_number 1
_cell_length_a 3.676
_cell_length_b 3.676
_cell_length_c 5.568
_cell_angle_alpha 90.00
_cell_angle_beta 90.00
_cell_angle_gamma 120.00
loop_
_symmetry_equiv_pos_as_xyz
'x,y,z'
loop_
_atom_site_label
_atom_site_fract_x
_atom_site_fract_y
_atom_site_fract_z
As1 0.000 0.000 0.000
Rh1 0.333 0.667 0.798
Br1 0.667 0.333 0.489

# Co3AgSn | Alexandria via LeMat-Bulk | GGA-PBE | relaxed
# Energy of formation   1.4349 eV/atom
# E_tot   -4.20 eV/atom
data_Co3AgSn
_symmetry_space_group_name_H-M 'P 1'
_symmetry_Int_Tables_number 1
_cell_length_a 4.649
_cell_length_b 4.649
_cell_length_c 4.649
_cell_angle_alpha 90.00
_cell_angle_beta 90.00
_cell_angle_gamma 90.00
loop_
_symmetry_equiv_pos_as_xyz
'x,y,z'
loop_
_atom_site_label
_atom_site_fract_x
_atom_site_fract_y
_atom_site_fract_z
Co1 0.000 0.000 0.500
Co2 0.000 0.500 0.000
Co3 0.500 0.000 0.000
Ag1 0.000 0.000 0.000
Sn1 0.500 0.500 0.500

# ZrTiN | Alexandria via LeMat-Bulk | GGA-PBE | relaxed
# E_tot   -8.68 eV/atom
# Formation energy from raw total energies   -0.420 eV/atom
data_ZrTiN
_symmetry_space_group_name_H-M 'P 1'
_symmetry_Int_Tables_number 1
_cell_length_a 3.876
_cell_length_b 3.876
_cell_length_c 3.876
_cell_angle_alpha 60.00
_cell_angle_beta 60.00
_cell_angle_gamma 60.00
loop_
_symmetry_equiv_pos_as_xyz
'x,y,z'
loop_
_atom_site_label
_atom_site_fract_x
_atom_site_fract_y
_atom_site_fract_z
Zr1 0.000 0.000 0.000
Ti1 0.500 0.500 0.500
N1 0.750 0.750 0.750

no.,E above lowest polymorph (eV/atom)
1,0.0180
2,0.0555
3,0.7863